DFT (PBEsol) results for a relaxed SrCa3Rh crystal.

abc: 5.5633 5.5633 5.5633
angles: 90.00 90.00 90.00
Closest atoms and distances in Å follow each position.
Space group Pm-3m (No. 221)
Unique sites:
Sr1 0.0000 0.0000 0.0000  12 Ca 3.93
Ca1 0.0000 0.5000 0.5000  2 Rh 2.78
Rh1 0.5000 0.5000 0.5000  6 Ca 2.78

Values from the calculation:
- N(E_F): 0.773 states/eV per atom
- Offset from the most stable computed form: 14 meV per atom


DFT (PBEsol) results for a relaxed MoCSeN2 crystal.

abc: 3.7670 3.7670 5.2608
angles: 90.00 90.00 90.00
Closest atoms and distances in Å follow each position.
Space group P4/mmm (No. 123)
Unique sites:
Mo1 0.0000 0.0000 0.0000  4 N 1.88
C1 0.5000 0.5000 0.5000  4 Se 2.66
Se1 0.0000 0.0000 0.5000  2 Mo 2.63, 4 C 2.66
N1 0.0000 0.5000 0.0000  2 Mo 1.88

Values from the calculation:
- N(E_F): 0.517 states/eV per atom
- Formation energy (no corrections): 1545.6 meV per atom


What did the second record say?
DFT (PBEsol) results for a relaxed MoCSeN2 crystal.

abc: 3.7670 3.7670 5.2608
angles: 90.00 90.00 90.00
Closest atoms and distances in Å follow each position.
Space group P4/mmm (No. 123)
Unique sites:
Mo1 0.0000 0.0000 0.0000  4 N 1.88
C1 0.5000 0.5000 0.5000  4 Se 2.66
Se1 0.0000 0.0000 0.5000  2 Mo 2.63, 4 C 2.66
N1 0.0000 0.5000 0.0000  2 Mo 1.88

Values from the calculation:
- N(E_F): 0.517 states/eV per atom
- Formation energy (no corrections): 1545.6 meV per atom


What is the formula in the second record? MoCSeN2


What is the formula in the first record? SrCa3Rh